DFT (GGA-PBE) results for Sm3NpRu8 after structural relaxation.

As for the space-group type: R3m, No. 160. As for the formation energy: -0.14 eV per atom.

Cell lengths 5.3578, 5.3578, 9.3218 Å; angles 73.30, 73.30, 60.00 degrees
With the nearest neighbours (Å) after each atom.
Fractional coordinates of all 12 atoms:
Sm 0.4997 0.4997 0.5008  12 Ru 3.12-3.14, 3 Np 3.29, 1 Sm 3.29
Sm 0.3749 0.3749 0.8752  12 Ru 3.14-3.19, 4 Sm 3.28-3.29
Sm 0.0000 0.0000 0.0001  12 Ru 3.14-3.19, 3 Sm 3.28, 1 Np 3.30
Ru 0.1878 0.1878 0.4365  6 Ru 2.66-2.68
Ru 0.6874 0.6874 0.9378  6 Ru 2.71
Ru 0.4372 0.9344 0.1913  6 Ru 2.66-2.71
Ru 0.9373 0.9373 0.6836  6 Ru 2.65-2.71
Ru 0.4372 0.4372 0.1913  6 Ru 2.66-2.71
Ru 0.9373 0.4419 0.6836  6 Ru 2.65-2.71
Ru 0.4419 0.9373 0.6836  6 Ru 2.65-2.71
Ru 0.9344 0.4372 0.1913  6 Ru 2.66-2.71
Np 0.8750 0.8750 0.3749  12 Ru 3.12-3.14, 4 Sm 3.29-3.30